# LaPm3Er6Tm2 (PBE-GGA, relaxed)
# Formation energy ... 22 meV/atom
# N(E_F) ... 15.31 states/eV/f.u.
data_LaPm3Er6Tm2
_chemical_formula_sum 'La2 Pm6 Er12 Tm4'
_space_group_name_H-M_alt 'C 1 2/m 1'
_space_group_IT_number 12
_cell_length_a 6.1713
_cell_length_b 10.6852
_cell_length_c 11.7709
_cell_angle_alpha 90.00
_cell_angle_beta 100.03
_cell_angle_gamma 90.00
loop_
_space_group_symop_operation_xyz
'x,y,z'
'-x,-y,-z'
'-x,y,-z'
'x,-y,z'
'x+1/2,y+1/2,z'
'-x+1/2,-y+1/2,-z'
'-x+1/2,y+1/2,-z'
'x+1/2,-y+1/2,z'
loop_
_atom_site_label
_atom_site_type_symbol
_atom_site_fract_x
_atom_site_fract_y
_atom_site_fract_z
_atom_site_occupancy
La1 La 0.0000 0.0000 0.0000 1
Pm1 Pm 0.0000 0.1671 0.5000 1
Pm2 Pm 0.0000 0.5000 0.5000 1
Er1 Er 0.2490 0.3326 0.7509 1
Er2 Er 0.2487 0.5000 0.2492 1
Tm1 Tm 0.0000 0.3332 0.0000 1